<1>
Here is a geometry-optimized TbErZnCd structure from Alexandria via LeMat-Bulk. Energies are from PBE.

```
4
Lattice="3.584 0.000 0.000 0.000 3.584 0.000 0.000 0.000 7.554" Properties=species:S:1:pos:R:3 pbc="T T T"
Tb 1.792 1.792 0.956
Cd 0.000 0.000 6.427
Zn 0.000 0.000 2.748
Er 1.792 1.792 4.433
```

Calculated values
N(E_F) = 4.0 states/eV per cell

<2>
Here is a geometry-optimized TbErZnCd structure from Alexandria via LeMat-Bulk. Energies are from PBE.

```
4
Lattice="-3.999 1.908 -2.667 -1.201 -1.974 -4.627 -4.303 -2.812 -0.574" Properties=species:S:1:pos:R:3 pbc="T T T"
Er -7.127 -2.158 -5.900
Zn 0.000 0.000 0.000
Cd -4.751 -1.439 -3.934
Tb -2.376 -0.719 -1.967
```

Calculated values
N(E_F) = 3.7 states/eV per cell

Stability check: which of them is most stable? <1>.